[1]
Material: Pr4As2PbSe
Method: DFT, PBE
State: optimized geometry

Lattice parameters (Å, degrees): 7.600 4.325 7.637 90.00 109.00 90.00
Fractional coordinates of all 8 atoms:
Pr: 0.238 0.000 0.234
Pr: 0.251 0.500 0.763
Pr: 0.749 0.500 0.237
Pr: 0.762 0.000 0.766
As: 0.000 0.500 0.000
As: 0.500 0.000 0.000
Pb: 0.500 0.500 0.500
Se: 0.000 0.000 0.500

Calculated values
Calculated volume ... 29.7 A^3/atom
Calculated density ... 6995 kg/m³
Crystal system ... monoclinic
Raw formation energy ... -1.3553 eV/atom


[2]
Material: SrCdTe
Method: DFT, PBE
State: optimized geometry

Lattice parameters (Å, degrees): 6.231 6.231 6.231 140.51 140.51 57.08
Fractional coordinates of all 3 atoms:
Sr: 0.000 0.000 0.000
Cd: 0.317 0.317 0.000
Te: 0.665 0.665 0.000

Calculated values
Calculated volume ... 32.3 A^3/atom
Distance to the lowest polymorph of the same formula ... 90 meV/atom
Calculated density ... 5608 kg/m³
Crystal system ... tetragonal
Raw formation energy ... -0.7548 eV/atom


[3]
Material: FeCu2Si
Method: DFT, PBE
State: optimized geometry

Lattice parameters (Å, degrees): 2.562 2.562 7.526 90.00 90.00 90.18
Fractional coordinates of all 4 atoms:
Fe: 0.000 0.000 0.000
Cu: 0.500 0.500 0.253
Cu: 0.500 0.500 0.747
Si: 0.000 0.000 0.500

Calculated values
Calculated volume ... 12.4 A^3/atom
Calculated density ... 7091 kg/m³
Crystal system ... orthorhombic
Raw formation energy ... 0.1342 eV/atom


[4]
Material: Mg3HPt
Method: DFT, PBE
State: optimized geometry

Lattice parameters (Å, degrees): 5.015 5.015 5.015 90.00 90.00 90.00
Fractional coordinates of all 5 atoms:
Mg: 0.000 0.000 0.500
Mg: 0.000 0.500 0.000
Mg: 0.500 0.000 0.000
H: 0.500 0.500 0.500
Pt: 0.000 0.000 0.000

Calculated values
Calculated volume ... 25.2 A^3/atom
Distance to the lowest polymorph of the same formula ... 566 meV/atom
Calculated density ... 3541 kg/m³
Crystal system ... cubic


[5]
Material: H2PbCl
Method: DFT, PBE
State: optimized geometry

Lattice parameters (Å, degrees): 3.395 5.913 5.607 90.00 106.60 90.00
Fractional coordinates of all 4 atoms:
H: 0.000 0.000 0.000
H: 0.146 0.000 0.919
Pb: 0.064 0.500 0.953
Cl: 0.817 0.500 0.454

Calculated values
Calculated volume ... 27.0 A^3/atom
Distance to the lowest polymorph of the same formula ... 0 meV/atom
Calculated density ... 3766 kg/m³
Crystal system ... monoclinic


[6]
Material: CaGePd3
Method: DFT, PBE
State: optimized geometry

Lattice parameters (Å, degrees): 5.813 4.594 7.183 90.00 90.00 90.00
Fractional coordinates of all 10 atoms:
Ca: 0.000 0.027 0.000
Ca: 0.500 0.973 0.500
Ge: 0.000 0.343 0.566
Ge: 0.500 0.657 0.066
Pd: 0.000 0.864 0.437
Pd: 0.243 0.390 0.271
Pd: 0.257 0.610 0.771
Pd: 0.500 0.136 0.937
Pd: 0.743 0.610 0.771
Pd: 0.757 0.390 0.271

Calculated values
Calculated volume ... 19.2 A^3/atom
E_form ... -0.62 eV/atom
Distance to the lowest polymorph of the same formula ... 0 meV/atom
Calculated density ... 7479 kg/m³
Crystal system ... orthorhombic


no.,DOS at the Fermi energy (states/eV/f.u.)
1,1.77
2,0.39
3,2.38
4,2.36
5,0.73
6,1.72